# 1
Here is crystalline Na4Ca2Be at its relaxed geometry from the Alexandria database. Energies are from GGA-PBE.

magnetic moment = 0.00 μB per cell
formation energy from the elements = 3.26 eV per formula unit

```
Na4Ca2Be
1.0
-2.690 2.690 8.777
2.690 -2.690 8.777
2.690 2.690 -8.777
Na Ca Be
4 2 1
direct
0.000 0.500 0.500
0.162 0.162 0.000
0.500 0.000 0.500
0.838 0.838 0.000
0.366 0.366 0.000
0.634 0.634 0.000
0.000 0.000 0.000
```

# 2
Here is crystalline NaCa3Be at its relaxed geometry from the Alexandria database. Energies are from GGA-PBE.

magnetic moment = 0.00 μB per cell
ΔE to the lowest computed polymorph = 0 meV per atom
formation energy from the elements = 1.19 eV per formula unit

```
NaCa3Be
1.0
5.698 0.000 0.000
0.000 5.698 0.000
0.000 0.000 5.698
Na Ca Be
1 3 1
direct
0.000 0.000 0.000
0.000 0.500 0.500
0.500 0.000 0.500
0.500 0.500 0.000
0.500 0.500 0.500
```

# 3
Here is crystalline NaCaBe3 at its relaxed geometry from the Alexandria database. Energies are from GGA-PBE.

magnetic moment = 0.00 μB per cell
ΔE to the lowest computed polymorph = 0 meV per atom
formation energy from the elements = 6.36 eV per formula unit

```
NaCaBe3
1.0
4.663 0.000 0.000
0.000 4.663 0.000
0.000 0.000 4.663
Na Ca Be
1 1 3
direct
0.000 0.000 0.000
0.500 0.500 0.500
0.000 0.000 0.500
0.000 0.500 0.000
0.500 0.000 0.000
```

# 4
Here is crystalline NaCa3Be at its relaxed geometry from the Alexandria database. Energies are from GGA-PBE.

magnetic moment = 0.00 μB per cell
ΔE to the lowest computed polymorph = 737 meV per atom
formation energy from the elements = 4.87 eV per formula unit

```
NaCa3Be
1.0
5.873 0.000 0.000
0.000 5.873 0.000
0.000 0.000 5.873
Na Ca Be
1 3 1
direct
0.000 0.000 0.000
0.000 0.000 0.500
0.000 0.500 0.000
0.500 0.000 0.000
0.500 0.500 0.500
```

# 5
Here is crystalline NaCaBe2 at its relaxed geometry from the Alexandria database. Energies are from GGA-PBE.

magnetic moment = 0.00 μB per cell
ΔE to the lowest computed polymorph = 21 meV per atom
formation energy from the elements = 2.91 eV per formula unit

```
NaCaBe2
1.0
-2.200 2.200 9.467
2.200 -2.200 9.467
2.200 2.200 -9.467
Na Ca Be
2 2 4
direct
0.375 0.625 0.750
0.625 0.375 0.250
0.125 0.875 0.250
0.875 0.125 0.750
0.000 0.500 0.500
0.500 0.000 0.000
0.500 0.500 0.000
0.500 0.500 0.500
```

# 6
Here is crystalline NaCaBe3 at its relaxed geometry from the Alexandria database. Energies are from GGA-PBE.

magnetic moment = 0.00 μB per cell
ΔE to the lowest computed polymorph = 376 meV per atom
formation energy from the elements = 8.24 eV per formula unit

```
NaCaBe3
1.0
5.396 0.000 0.000
0.000 5.396 0.000
0.000 0.000 5.396
Na Ca Be
1 1 3
direct
0.000 0.000 0.000
0.500 0.500 0.500
0.000 0.500 0.500
0.500 0.000 0.500
0.500 0.500 0.000
```

# 7
Here is crystalline NaCaBe2 at its relaxed geometry from the Alexandria database. Energies are from GGA-PBE.

magnetic moment = 0.00 μB per cell
ΔE to the lowest computed polymorph = 0 meV per atom
formation energy from the elements = 2.83 eV per formula unit

```
NaCaBe2
1.0
0.000 3.458 3.458
3.458 0.000 3.458
3.458 3.458 0.000
Na Ca Be
1 1 2
direct
0.000 0.000 0.000
0.500 0.500 0.500
0.250 0.250 0.250
0.750 0.750 0.750
```

# 8
Here is crystalline NaCaBeNb2 at its relaxed geometry from the Alexandria database. Energies are from GGA-PBE.

magnetic moment = 1.25 μB per cell
formation energy from the elements = 4.32 eV per formula unit

```
NaCaBeNb2
1.0
4.554 0.000 0.000
0.000 4.554 0.000
0.000 0.000 5.526
Na Ca Be Nb
1 1 1 2
direct
0.000 0.000 0.000
0.500 0.500 0.000
0.500 0.500 0.500
0.000 0.500 0.500
0.500 0.000 0.500
```

# 9
Here is crystalline NaCaBeNi2 at its relaxed geometry from the Alexandria database. Energies are from GGA-PBE.

magnetic moment = 0.00 μB per cell
formation energy from the elements = 7.24 eV per formula unit

```
NaCaBeNi2
1.0
4.549 0.000 0.000
0.000 4.549 0.000
0.000 0.000 4.963
Na Ca Be Ni
1 1 1 2
direct
0.000 0.000 0.000
0.000 0.000 0.500
0.500 0.500 0.500
0.000 0.500 0.000
0.500 0.000 0.000
```

# 10
Here is crystalline Na2CaBeP2 at its relaxed geometry from the Alexandria database. Energies are from GGA-PBE.

magnetic moment = 0.00 μB per cell
formation energy from the elements = -3.04 eV per formula unit

```
Na2CaBeP2
1.0
-3.338 6.131 3.218
3.338 -6.131 3.218
3.338 6.131 -3.218
Na Ca Be P
4 2 2 4
direct
0.192 0.168 0.360
0.308 0.668 0.976
0.692 0.332 0.024
0.808 0.832 0.640
0.250 0.750 0.500
0.750 0.250 0.500
0.250 0.250 0.000
0.750 0.750 0.000
0.086 0.804 0.890
0.414 0.304 0.718
0.586 0.696 0.282
0.914 0.196 0.110
```

# 11
Here is crystalline RbNaCaBe2 at its relaxed geometry from the Alexandria database. Energies are from GGA-PBE.

magnetic moment = 0.00 μB per cell
formation energy from the elements = 6.27 eV per formula unit

```
RbNaCaBe2
1.0
5.615 0.000 0.000
0.000 5.615 0.000
0.000 0.000 6.635
Rb Na Ca Be
1 1 1 2
direct
0.000 0.000 0.000
0.500 0.500 0.000
0.000 0.000 0.500
0.000 0.500 0.500
0.500 0.000 0.500
```

# 12
Here is crystalline NaCaBeS2 at its relaxed geometry from the Alexandria database. Energies are from GGA-PBE.

magnetic moment = 1.40 μB per cell
uncorrected formation energy = -0.92 eV/atom

```
NaCaBeS2
1.0
5.986 0.000 0.000
0.000 5.728 0.000
-0.496 0.000 7.513
Na Ca Be S
2 2 2 4
direct
0.000 0.011 0.250
0.000 0.989 0.750
0.500 0.458 0.750
0.500 0.542 0.250
0.500 0.000 0.000
0.500 0.000 0.500
0.270 0.241 0.012
0.270 0.759 0.512
0.730 0.241 0.488
0.730 0.759 0.988
```